Sr3AlAs3 | SCAN | PBEsol geometry

Computed properties:
space group	Cmce
E	-20.532	eV per atom
calculated formation energy	-1225	meV/atom
magnetization	0.000	μB per atom

Unit cell a=6.5334 b=10.0739 c=12.6406 alpha=90.00 beta=90.00 gamma=108.92
Sites, in units of the cell vectors:
Sr1 0.8244 0.0000 0.3493
Sr2 0.5118 0.6464 0.1310
Sr3 0.1756 0.0000 0.6507
Sr4 0.8653 0.3536 0.1310
Sr5 0.4882 0.3536 0.8690
Sr6 0.3244 0.0000 0.1507
Sr7 0.0118 0.6464 0.3690
Sr8 0.1347 0.6464 0.8690
Sr9 0.9882 0.3536 0.6310
Sr10 0.3653 0.3536 0.3690
Sr11 0.6756 0.0000 0.8493
Sr12 0.6347 0.6464 0.6310
As1 0.8643 0.3181 0.3790
As2 0.4538 0.3181 0.6210
As3 0.1357 0.6819 0.6210
As4 0.2887 0.0000 0.3966
As5 0.2113 0.0000 0.8966
As6 0.7113 0.0000 0.6034
As7 0.9538 0.3181 0.8790
As8 0.6357 0.6819 0.8790
As9 0.5462 0.6819 0.3790
As10 0.7887 0.0000 0.1034
As11 0.3643 0.3181 0.1210
As12 0.0462 0.6819 0.1210
Al1 0.0849 0.1697 0.0000
Al2 0.5849 0.1697 0.5000
Al3 0.4151 0.8303 0.5000
Al4 0.9151 0.8303 0.0000

TaAlAs | SCAN | PBEsol geometry

Computed properties:
space group	I4mm
E	-31.458	eV per atom
calculated formation energy	50	meV/atom
magnetization	0.000	μB per atom

Unit cell a=2.8699 b=2.8699 c=6.6582 alpha=102.45 beta=102.45 gamma=90.00
Sites, in units of the cell vectors:
Ta1 0.3336 0.3336 0.6673
Al1 0.9885 0.9885 0.9769
As1 0.6779 0.6779 0.3558

TaAlAs2 | SCAN | PBEsol geometry

Computed properties:
space group	P2/m
E	-28.862	eV per atom
calculated formation energy	-183	meV/atom
magnetization	0.000	μB per atom

Unit cell a=3.3245 b=3.3188 c=6.1625 alpha=99.85 beta=90.00 gamma=90.00
Sites, in units of the cell vectors:
Ta1 0.5000 0.5000 0.5000
Al1 0.5000 0.5000 0.0000
As1 0.0000 0.9353 0.2669
As2 0.0000 0.0647 0.7331

Question: Which of these has the highest E?
Answer: Sr3AlAs3

Question: What is the formula in the third record?
Answer: TaAlAs2

What did the third record say?
TaAlAs2 | SCAN | PBEsol geometry

Computed properties:
space group	P2/m
E	-28.862	eV per atom
calculated formation energy	-183	meV/atom
magnetization	0.000	μB per atom

Unit cell a=3.3245 b=3.3188 c=6.1625 alpha=99.85 beta=90.00 gamma=90.00
Sites, in units of the cell vectors:
Ta1 0.5000 0.5000 0.5000
Al1 0.5000 0.5000 0.0000
As1 0.0000 0.9353 0.2669
As2 0.0000 0.0647 0.7331

Question: Which of these has the lowest E?
Answer: TaAlAs